Record 1
Computed, not measured: an optimized crystal structure of K2TlAsCl6 at the PBEsol level of DFT.

It has space group Fm-3m (No. 225), with a = 10.7445 Å, b = 10.7445 Å, c = 10.7445 Å, α = 90.00°, β = 90.00° and γ = 90.00°. Symmetry generates all atoms from K at (0.2500, 0.2500, 0.2500), Tl at (0.0000, 0.0000, 0.0000), As at (0.0000, 0.0000, 0.5000) and Cl at (0.0000, 0.0000, 0.2699).

As for the total DFT energy (no corrections): -3.4046 eV per atom.



Record 2
Computed, not measured: an optimized crystal structure of LaAsCl at the PBEsol level of DFT.

It has space group I4mm (No. 107), with a = 3.6895 Å, b = 3.6895 Å, c = 10.4987 Å, α = 90.00°, β = 90.00° and γ = 90.00°. Symmetry generates all atoms from La at (0.0000, 0.0000, 0.0000), As at (0.0000, 0.0000, 0.6817) and Cl at (0.0000, 0.0000, 0.3708).

As for the total DFT energy (no corrections): -5.3469 eV per atom.



Record 3
Computed, not measured: an optimized crystal structure of La2As2Cl at the PBEsol level of DFT.

It has space group I4/mmm (No. 139), with a = 5.5604 Å, b = 5.5604 Å, c = 9.1495 Å, α = 90.00°, β = 90.00° and γ = 90.00°. Symmetry generates all atoms from La at (0.0000, 0.5000, 0.2500), As at (0.0000, 0.0000, 0.1322) and Cl at (0.0000, 0.0000, 0.5000).

As for the total DFT energy (no corrections): -5.7372 eV per atom.



Question: The highest total DFT energy (no corrections) belongs to which entry?
Answer: K2TlAsCl6